No. 1
First-principles (meta-GGA SCAN) data for a PBEsol-optimized structure of BaCa3Sb, as listed in Alexandria.

The structure in POSCAR format:
```
BaCa3Sb
1.0
5.633 0.000 0.000
0.000 5.633 0.000
0.000 0.000 5.633
Ba Ca Sb
1 3 1
Direct
0.000 0.000 0.000
0.000 0.000 0.500
0.000 0.500 0.000
0.500 0.000 0.000
0.500 0.500 0.500
```

Output
ΔE to the lowest computed polymorph: 1262.2 meV/atom
ΔE_f (raw): 88 kJ/mol of atoms
VASP energy: -20.244 eV per atom

No. 2
First-principles (meta-GGA SCAN) data for a PBEsol-optimized structure of BaCaSb, as listed in Alexandria.

The structure in POSCAR format:
```
BaCaSb
1.0
0.000 3.764 3.764
3.764 0.000 3.764
3.764 3.764 0.000
Ba Ca Sb
1 1 1
Direct
0.000 0.000 0.000
0.750 0.750 0.750
0.500 0.500 0.500
```

Output
ΔE_f (raw): -46 kJ/mol of atoms
VASP energy: -29.297 eV per atom

No. 3
First-principles (meta-GGA SCAN) data for a PBEsol-optimized structure of BaCa2Sb2, as listed in Alexandria.

The structure in POSCAR format:
```
BaCa2Sb2
1.0
-2.481 2.481 7.150
2.481 -2.481 7.150
2.481 2.481 -7.150
Ba Ca Sb
1 2 2
Direct
0.000 0.000 0.000
0.250 0.750 0.500
0.750 0.250 0.500
0.380 0.380 0.000
0.620 0.620 0.000
```

Output
ΔE_f (raw): -99 kJ/mol of atoms
VASP energy: -27.703 eV per atom

| no. | volume (Å³ per atom) |
| --- | --- |
| 1 | 35.7 |
| 2 | 35.5 |
| 3 | 35.2 |